## Sc2CoRu (meta-GGA SCAN)

Data for Sc2CoRu at its PBEsol-relaxed geometry.

abc: 3.1303 3.1303 6.2046
angles: 90.00 90.00 90.00
Space group P4/mmm (No. 123)
Unique sites:
1 Sc 0.0000 0.0000 0.2465 x2
2 Co 0.5000 0.5000 0.0000 x1
3 Ru 0.5000 0.5000 0.5000 x1

The relative energy among the computed polymorphs is 8.3 meV/atom. The calculation puts the formation enthalpy at 0 K at -0.478 eV/atom. The value obtained for the size of the total moment is 0.0 μB/f.u. The uncorrected energy is -20.629 eV per atom. The theoretical density is 6826 kg/m3.